Below is crystalline GaSiNiOs at its relaxed geometry, with properties calculated at the GGA-PBE level.

It has space group Cm (No. 8), with a = 9.114 Å, b = 2.943 Å, c = 4.074 Å, α = 90.00°, β = 107.18° and γ = 90.00°. Symmetry generates all atoms from Ga at (0.000, 0.000, 0.000), Si at (0.262, 0.500, 0.363), Ni at (0.486, 0.000, 0.483) and Os at (0.253, 0.000, 0.855).

The value obtained for the uncorrected formation energy is -0.2348 eV/atom. The value obtained for the theoretical density is 11.0 Mg/m³.

=====

Below is crystalline Na2LiSb at its relaxed geometry, with properties calculated at the GGA-PBE level.

It has space group I-42d (No. 122), with a = 4.503 Å, b = 4.503 Å, c = 21.505 Å, α = 90.00°, β = 90.00° and γ = 90.00°. Symmetry generates all atoms from Na at (0.238, 0.250, 0.125), Li at (0.000, 0.000, 0.500) and Sb at (0.000, 0.000, 0.000).

The value obtained for the uncorrected formation energy is -0.1389 eV/atom. The value obtained for the theoretical density is 2.7 Mg/m³.

=====

| no. | DOS(E_F) (states/eV per cell) |
| --- | --- |
| 1 | 6.00 |
| 2 | 5.91 |